Record 1
# Na2Si2S5 (PBE, relaxed)
# Energy above the most stable polymorph in this dataset in kJ/mol of formula units: 0
# Raw formation energy in meV per atom: -919.8
# Raw total energy in eV per formula unit: -42.40
data_Na2Si2S5
_symmetry_space_group_name_H-M 'P 1'
_symmetry_Int_Tables_number 1
_symmetry_space_group_name_Hall 'P 1'
_cell_length_a 9.0952
_cell_length_b 9.0952
_cell_length_c 10.5212
_cell_angle_alpha 90.00
_cell_angle_beta 90.00
_cell_angle_gamma 90.26
loop_
_atom_site_label
_atom_site_type_symbol
_atom_site_fract_x
_atom_site_fract_y
_atom_site_fract_z
Na1 Na 0.0971 0.5797 0.7500
Na2 Na 0.1508 0.1508 0.0000
Na3 Na 0.1508 0.1508 0.5000
Na4 Na 0.4203 0.9029 0.7500
Na5 Na 0.5797 0.0971 0.2500
Na6 Na 0.8492 0.8492 0.0000
Na7 Na 0.8492 0.8492 0.5000
Na8 Na 0.9029 0.4203 0.2500
Si1 Si 0.2525 0.7475 0.0854
Si2 Si 0.2525 0.7475 0.4146
Si3 Si 0.3103 0.4198 0.2500
Si4 Si 0.4198 0.3103 0.7500
Si5 Si 0.5802 0.6897 0.2500
Si6 Si 0.6897 0.5802 0.7500
Si7 Si 0.7475 0.2525 0.5854
Si8 Si 0.7475 0.2525 0.9146
S1 S 0.1536 0.8464 0.2500
S2 S 0.1601 0.8399 0.5761
S3 S 0.1601 0.8399 0.9239
S4 S 0.1962 0.2720 0.7500
S5 S 0.2074 0.5132 0.0827
S6 S 0.2074 0.5132 0.4173
S7 S 0.2720 0.1962 0.2500
S8 S 0.4564 0.5436 0.7500
S9 S 0.4868 0.7926 0.0827
S10 S 0.4868 0.7926 0.4173
S11 S 0.5132 0.2074 0.5827
S12 S 0.5132 0.2074 0.9173
S13 S 0.5436 0.4564 0.2500
S14 S 0.7280 0.8038 0.7500
S15 S 0.7926 0.4868 0.5827
S16 S 0.7926 0.4868 0.9173
S17 S 0.8038 0.7280 0.2500
S18 S 0.8399 0.1601 0.0761
S19 S 0.8399 0.1601 0.4239
S20 S 0.8464 0.1536 0.7500


Record 2
# ZnCrNi2N (PBE, relaxed)
# Raw formation energy in meV per atom: -173.2
# Raw total energy in eV per formula unit: -31.65
data_ZnCrNi2N
_symmetry_space_group_name_H-M 'P 1'
_symmetry_Int_Tables_number 1
_symmetry_space_group_name_Hall 'P 1'
_cell_length_a 3.8245
_cell_length_b 3.8245
_cell_length_c 3.7500
_cell_angle_alpha 90.00
_cell_angle_beta 90.00
_cell_angle_gamma 90.00
loop_
_atom_site_label
_atom_site_type_symbol
_atom_site_fract_x
_atom_site_fract_y
_atom_site_fract_z
Zn1 Zn 0.0000 0.0000 0.0000
Cr1 Cr 0.5000 0.5000 0.0000
Ni1 Ni 0.0000 0.5000 0.5000
Ni2 Ni 0.5000 0.0000 0.5000
N1 N 0.5000 0.5000 0.5000


Record 3
# Cs3La3ZrS8 (PBE, relaxed)
# Raw formation energy in meV per atom: -1826.2
# Raw total energy in eV per formula unit: -86.30
data_Cs3La3ZrS8
_symmetry_space_group_name_H-M 'P 1'
_symmetry_Int_Tables_number 1
_symmetry_space_group_name_Hall 'P 1'
_cell_length_a 9.5291
_cell_length_b 9.5291
_cell_length_c 9.5291
_cell_angle_alpha 52.34
_cell_angle_beta 52.34
_cell_angle_gamma 52.34
loop_
_atom_site_label
_atom_site_type_symbol
_atom_site_fract_x
_atom_site_fract_y
_atom_site_fract_z
Cs1 Cs 0.0000 0.5000 0.5000
Cs2 Cs 0.5000 0.0000 0.5000
Cs3 Cs 0.5000 0.5000 0.0000
La1 La 0.0000 0.0000 0.5000
La2 La 0.0000 0.5000 0.0000
La3 La 0.5000 0.0000 0.0000
Zr1 Zr 0.5000 0.5000 0.5000
S1 S 0.2291 0.2291 0.2291
S2 S 0.2543 0.7102 0.7102
S3 S 0.2898 0.2898 0.7457
S4 S 0.2898 0.7457 0.2898
S5 S 0.7102 0.2543 0.7102
S6 S 0.7102 0.7102 0.2543
S7 S 0.7457 0.2898 0.2898
S8 S 0.7709 0.7709 0.7709


Record 4
# CaLu2Te (PBE, relaxed)
# Raw formation energy in meV per atom: -223.8
# Raw total energy in eV per formula unit: -15.08
data_CaLu2Te
_symmetry_space_group_name_H-M 'P 1'
_symmetry_Int_Tables_number 1
_symmetry_space_group_name_Hall 'P 1'
_cell_length_a 11.1889
_cell_length_b 11.1889
_cell_length_c 11.1889
_cell_angle_alpha 19.52
_cell_angle_beta 19.52
_cell_angle_gamma 19.52
loop_
_atom_site_label
_atom_site_type_symbol
_atom_site_fract_x
_atom_site_fract_y
_atom_site_fract_z
Ca1 Ca 0.0000 0.0000 0.0000
Lu1 Lu 0.1041 0.1041 0.1041
Lu2 Lu 0.8959 0.8959 0.8959
Te1 Te 0.5000 0.5000 0.5000


Record 5
# ReTc2Hg (PBE, relaxed)
# Raw total energy in eV per formula unit: -31.81
# ΔH_f (0 K) in eV/f.u.: 1.68
data_ReTc2Hg
_symmetry_space_group_name_H-M 'P 1'
_symmetry_Int_Tables_number 1
_symmetry_space_group_name_Hall 'P 1'
_cell_length_a 2.8420
_cell_length_b 3.9919
_cell_length_c 5.7439
_cell_angle_alpha 90.00
_cell_angle_beta 90.00
_cell_angle_gamma 90.00
loop_
_atom_site_label
_atom_site_type_symbol
_atom_site_fract_x
_atom_site_fract_y
_atom_site_fract_z
Re1 Re 0.0000 0.0000 0.0000
Tc1 Tc 0.0000 0.0000 0.4203
Tc2 Tc 0.5000 0.5000 0.2047
Hg1 Hg 0.5000 0.5000 0.7047


Record 6
# TaReMo (PBE, relaxed)
# Energy above the most stable polymorph in this dataset in kJ/mol of formula units: 26
# Raw total energy in eV per formula unit: -35.58
# ΔH_f (0 K) in eV/f.u.: -0.45
data_TaReMo
_symmetry_space_group_name_H-M 'P 1'
_symmetry_Int_Tables_number 1
_symmetry_space_group_name_Hall 'P 1'
_cell_length_a 4.4923
_cell_length_b 4.4923
_cell_length_c 2.7816
_cell_angle_alpha 90.00
_cell_angle_beta 90.00
_cell_angle_gamma 120.00
loop_
_atom_site_label
_atom_site_type_symbol
_atom_site_fract_x
_atom_site_fract_y
_atom_site_fract_z
Ta1 Ta 0.0000 0.0000 0.0000
Re1 Re 0.3333 0.6667 0.6610
Mo1 Mo 0.6667 0.3333 0.3401


Record 7
# Tb3DyTm3Te8 (PBE, relaxed)
# Raw formation energy in meV per atom: -1335.4
# Raw total energy in eV per formula unit: -77.07
data_Tb3DyTm3Te8
_symmetry_space_group_name_H-M 'P 1'
_symmetry_Int_Tables_number 1
_symmetry_space_group_name_Hall 'P 1'
_cell_length_a 8.6422
_cell_length_b 8.6422
_cell_length_c 8.6422
_cell_angle_alpha 59.99
_cell_angle_beta 59.99
_cell_angle_gamma 59.99
loop_
_atom_site_label
_atom_site_type_symbol
_atom_site_fract_x
_atom_site_fract_y
_atom_site_fract_z
Tb1 Tb 0.0000 0.5000 0.5000
Tb2 Tb 0.5000 0.0000 0.5000
Tb3 Tb 0.5000 0.5000 0.0000
Dy1 Dy 0.5000 0.5000 0.5000
Tm1 Tm 0.0000 0.0000 0.5000
Tm2 Tm 0.0000 0.5000 0.0000
Tm3 Tm 0.5000 0.0000 0.0000
Te1 Te 0.2397 0.7563 0.7563
Te2 Te 0.2437 0.2437 0.7603
Te3 Te 0.2437 0.7603 0.2437
Te4 Te 0.2480 0.2480 0.2480
Te5 Te 0.7520 0.7520 0.7520
Te6 Te 0.7563 0.2397 0.7563
Te7 Te 0.7563 0.7563 0.2397
Te8 Te 0.7603 0.2437 0.2437


Record 8
# Ac2PrTl (PBE, relaxed)
# Energy above the most stable polymorph in this dataset in kJ/mol of formula units: 103
# Raw total energy in eV per formula unit: -14.90
# ΔH_f (0 K) in eV/f.u.: 0.47
data_Ac2PrTl
_symmetry_space_group_name_H-M 'P 1'
_symmetry_Int_Tables_number 1
_symmetry_space_group_name_Hall 'P 1'
_cell_length_a 12.9473
_cell_length_b 12.9473
_cell_length_c 12.9473
_cell_angle_alpha 16.88
_cell_angle_beta 16.88
_cell_angle_gamma 16.88
loop_
_atom_site_label
_atom_site_type_symbol
_atom_site_fract_x
_atom_site_fract_y
_atom_site_fract_z
Ac1 Ac 0.0950 0.0950 0.0950
Ac2 Ac 0.9050 0.9050 0.9050
Pr1 Pr 0.0000 0.0000 0.0000
Tl1 Tl 0.5000 0.5000 0.5000


Record 9
# Zn2BiSe (PBE, relaxed)
# Raw formation energy in meV per atom: -161.9
# Raw total energy in eV per formula unit: -10.56
data_Zn2BiSe
_symmetry_space_group_name_H-M 'P 1'
_symmetry_Int_Tables_number 1
_symmetry_space_group_name_Hall 'P 1'
_cell_length_a 7.2673
_cell_length_b 7.2673
_cell_length_c 7.2673
_cell_angle_alpha 129.77
_cell_angle_beta 129.77
_cell_angle_gamma 73.78
loop_
_atom_site_label
_atom_site_type_symbol
_atom_site_fract_x
_atom_site_fract_y
_atom_site_fract_z
Zn1 Zn 0.0898 0.6250 0.9648
Zn2 Zn 0.3750 0.3398 0.4648
Zn3 Zn 0.6602 0.1250 0.0352
Zn4 Zn 0.8750 0.9102 0.5352
Bi1 Bi 0.2500 0.7500 0.5000
Bi2 Bi 0.5000 0.5000 0.0000
Se1 Se 0.0000 0.0000 0.0000
Se2 Se 0.7500 0.2500 0.5000


Record 10
# PrSmGa6 (PBE, relaxed)
# Raw total energy in eV per formula unit: -32.23
# ΔH_f (0 K) in eV/f.u.: -4.57
data_PrSmGa6
_symmetry_space_group_name_H-M 'P 1'
_symmetry_Int_Tables_number 1
_symmetry_space_group_name_Hall 'P 1'
_cell_length_a 6.4456
_cell_length_b 6.4456
_cell_length_c 4.6063
_cell_angle_alpha 90.00
_cell_angle_beta 90.00
_cell_angle_gamma 120.00
loop_
_atom_site_label
_atom_site_type_symbol
_atom_site_fract_x
_atom_site_fract_y
_atom_site_fract_z
Pr1 Pr 0.0000 0.0000 0.0000
Sm1 Sm 0.3333 0.6667 0.5000
Ga1 Ga 0.3821 0.1910 0.5000
Ga2 Ga 0.5227 0.0455 0.0000
Ga3 Ga 0.5227 0.4773 0.0000
Ga4 Ga 0.8090 0.1910 0.5000
Ga5 Ga 0.8090 0.6179 0.5000
Ga6 Ga 0.9545 0.4773 0.0000


no.,volume (Å³/atom)
1,24.18
2,10.97
3,33.45
4,34.18
5,16.29
6,16.20
7,30.42
8,39.89
9,27.65
10,20.72